(1)
VASP calculation (PBE) on crystalline NaTlTeOs at its relaxed geometry.

CIF file:
```
data_NaTlTeOs
_chemical_formula_sum 'Na4 Tl4 Te4 Os4'
_cell_length_a 7.084
_cell_length_b 7.084
_cell_length_c 7.084
_cell_angle_alpha 90.00
_cell_angle_beta 90.00
_cell_angle_gamma 90.00
_symmetry_space_group_name_H-M 'P 1'
_symmetry_Int_Tables_number 1
_symmetry_space_group_name_Hall 'P 1'
loop_
_atom_site_label
_atom_site_type_symbol
_atom_site_fract_x
_atom_site_fract_y
_atom_site_fract_z
Na1 Na 0.000 0.000 0.000
Na2 Na 0.000 0.500 0.500
Na3 Na 0.500 0.000 0.500
Na4 Na 0.500 0.500 0.000
Tl1 Tl 0.000 0.000 0.500
Tl2 Tl 0.000 0.500 0.000
Tl3 Tl 0.500 0.000 0.000
Tl4 Tl 0.500 0.500 0.500
Te1 Te 0.250 0.250 0.750
Te2 Te 0.250 0.750 0.250
Te3 Te 0.750 0.250 0.250
Te4 Te 0.750 0.750 0.750
Os1 Os 0.250 0.250 0.250
Os2 Os 0.250 0.750 0.750
Os3 Os 0.750 0.250 0.750
Os4 Os 0.750 0.750 0.250
```

(2)
VASP calculation (PBE) on crystalline ReIrNO at its relaxed geometry.

CIF file:
```
data_ReIrNO
_chemical_formula_sum 'Re2 Ir2 N2 O2'
_cell_length_a 2.759
_cell_length_b 7.232
_cell_length_c 5.396
_cell_angle_alpha 90.00
_cell_angle_beta 90.00
_cell_angle_gamma 90.00
_symmetry_space_group_name_H-M 'P 1'
_symmetry_Int_Tables_number 1
_symmetry_space_group_name_Hall 'P 1'
loop_
_atom_site_label
_atom_site_type_symbol
_atom_site_fract_x
_atom_site_fract_y
_atom_site_fract_z
Re1 Re 0.000 0.171 0.000
Re2 Re 0.000 0.829 0.500
Ir1 Ir 0.500 0.479 0.933
Ir2 Ir 0.500 0.521 0.433
N1 N 0.500 0.295 0.220
N2 N 0.500 0.705 0.720
O1 O 0.000 0.047 0.689
O2 O 0.000 0.953 0.189
```

no.,VASP energy (eV/atom)
1,-3.55
2,-8.78